[1]
# Pm3In7Cu2

An optimized crystal structure of Pm3In7Cu2 (PBE, Alexandria via LeMat-Bulk).

Summary:
As for the space group: P2/m. The calculation puts the density of states at the Fermi level at 7.2 states/eV/f.u. As for the mass density: 7.68 Mg/m³. Its electronic total energy is -3.829 eV per atom. The calculation puts the formation energy at -0.361 eV/atom. The value obtained for the total magnetization is 0.000 μB/f.u. Its crystal system is monoclinic. The value obtained for the volume is 24.6 A^3/atom.

Cell lengths 4.523, 4.595, 14.391 Å; angles 99.06, 90.00, 90.00 degrees
Atoms (fractional coordinates):
In 0.000 0.584 0.172
In 0.500 0.278 0.556
In 0.000 0.000 0.000
Pm 0.000 0.184 0.368
In 0.500 0.915 0.826
Pm 0.500 0.500 0.000
Cu 0.500 0.370 0.734
Cu 0.500 0.630 0.266
Pm 0.000 0.816 0.632
In 0.000 0.416 0.828
In 0.500 0.085 0.174
In 0.500 0.722 0.444

---

[2]
# PmHoGaRu

An optimized crystal structure of PmHoGaRu (PBE, Alexandria via LeMat-Bulk).

Summary:
As for the space group: F-43m. Its offset from the most stable computed form is 55 meV/atom. The calculation puts the density of states at the Fermi level at 2.4 states/eV/f.u. As for the mass density: 9.09 Mg/m³. Its electronic total energy is -5.803 eV per atom. The calculation puts the formation energy at -0.395 eV/atom. The value obtained for the total magnetization is 0.000 μB/f.u. Its crystal system is cubic. The value obtained for the volume is 22.0 A^3/atom.

Cell lengths 4.990, 4.990, 4.990 Å; angles 60.00, 60.00, 60.00 degrees
Atoms (fractional coordinates):
Pm 0.000 0.000 0.000
Ho 0.500 0.500 0.500
Ga 0.750 0.750 0.750
Ru 0.250 0.250 0.250

---

[3]
# LaAs2Rh4

An optimized crystal structure of LaAs2Rh4 (PBE, Alexandria via LeMat-Bulk).

Summary:
As for the space group: Pnma. The calculation puts the density of states at the Fermi level at 4.4 states/eV/f.u. As for the mass density: 9.40 Mg/m³. Its electronic total energy is -6.970 eV per atom. The calculation puts the formation energy at -0.737 eV/atom. The value obtained for the total magnetization is 0.000 μB/f.u. Its crystal system is orthorhombic. The value obtained for the volume is 17.7 A^3/atom.

Cell lengths 4.050, 7.027, 17.386 Å; angles 90.00, 90.00, 90.00 degrees
Atoms (fractional coordinates):
As 0.750 0.197 0.950
As 0.750 0.520 0.745
Rh 0.750 0.678 0.466
La 0.750 0.455 0.108
As 0.250 0.480 0.255
Rh 0.250 0.322 0.694
Rh 0.750 0.511 0.609
Rh 0.250 0.717 0.692
Rh 0.250 0.489 0.391
Rh 0.250 0.783 0.192
As 0.750 0.980 0.245
Rh 0.250 0.322 0.534
La 0.250 0.545 0.892
Rh 0.750 0.217 0.808
Rh 0.250 0.011 0.891
Rh 0.750 0.822 0.806
Rh 0.750 0.678 0.306
As 0.250 0.697 0.550
Rh 0.750 0.989 0.109
Rh 0.750 0.822 0.966
Rh 0.750 0.283 0.308
Rh 0.250 0.178 0.034
La 0.750 0.045 0.608
La 0.250 0.955 0.392
As 0.750 0.303 0.450
As 0.250 0.020 0.755
As 0.250 0.803 0.050
Rh 0.250 0.178 0.194

---

[4]
# La2BeAgN

An optimized crystal structure of La2BeAgN (PBE, Alexandria via LeMat-Bulk).

Summary:
As for the space group: P4/mmm. The calculation puts the density of states at the Fermi level at 4.5 states/eV/f.u. As for the mass density: 6.75 Mg/m³. Its electronic total energy is -5.468 eV per atom. The value obtained for the total magnetization is 0.000 μB/f.u. Its crystal system is tetragonal. The value obtained for the volume is 20.1 A^3/atom.

Cell lengths 5.432, 5.432, 3.410 Å; angles 90.00, 90.00, 90.00 degrees
Atoms (fractional coordinates):
N 0.000 0.000 0.000
Be 0.000 0.000 0.500
Ag 0.500 0.500 0.500
La 0.000 0.500 0.000
La 0.500 0.000 0.000